{
  "formula": "NaLiGa6",
  "functional": "PBE-GGA",
  "state": "relaxed",
  "lattice": [[-3.942, 1.908, 0.607], [0.724, -0.402, 5.964], [2.216, 5.220, -2.024]],
  "species": ["Ga", "Ga", "Ga", "Ga", "Ga", "Ga", "Na", "Li"],
  "frac_coords": [[0.500, 0.439, 0.135], [0.500, 0.865, 0.561], [0.000, 0.638, 0.951], [0.000, 0.573, 0.427], [0.500, 0.941, 0.059], [0.000, 0.049, 0.362], [0.500, 0.374, 0.626], [0.000, 0.120, 0.880]],
  "formation_energy_mev_per_atom": -103,
  "relative_energy_ev_per_fu": 0.00,
  "dft_energy_ev_per_atom": -2.78,
  "vol_a3_per_cell": 150.34
}